1.
BiPbO2F (PBE-GGA, relaxed); spin magnetization = 0.000 μB/cell; energy relative to the elements, uncorrected = -1.5657 eV/atom; raw total energy = -5.4412 eV per atom
1.0
6.6897 0.0000 0.0000
0.0000 3.8919 0.0000
-2.7932 0.0000 7.2942
Bi Pb O F
2 2 4 2
Cartesian
1.5192 0.9730 0.3848
2.3773 2.9189 6.9093
0.3624 2.9189 3.4218
3.5341 0.9730 3.8723
0.3805 2.9189 0.9430
1.4815 0.9730 2.6989
2.4150 2.9189 4.5953
3.5160 0.9730 6.3511
-0.2147 2.9189 6.2653
4.1112 0.9730 1.0288

2.
CuRhI2O (PBE-GGA, relaxed); spin magnetization = 1.321 μB/cell; energy relative to the elements, uncorrected = 0.4497 eV/atom; raw total energy = -3.4515 eV per atom
1.0
5.4244 0.0000 0.0000
0.0000 5.4244 0.0000
0.0000 0.0000 3.5277
Cu Rh I O
1 1 2 1
Cartesian
0.0000 0.0000 0.0000
2.7122 2.7122 1.7638
0.0000 2.7122 0.0000
2.7122 0.0000 0.0000
0.0000 0.0000 1.7638

3.
ScTi2Se5 (PBE-GGA, relaxed); spin magnetization = 0.918 μB/cell; energy relative to the elements, uncorrected = -0.9875 eV/atom; raw total energy = -5.9305 eV per atom
1.0
0.0000 6.6595 6.6924
2.4743 0.0000 6.6924
2.4743 6.6595 0.0000
Sc Ti Se
1 2 5
Cartesian
0.0000 0.0000 0.0000
2.4743 4.1342 6.6924
2.4743 9.1849 6.6924
2.4743 2.2217 5.0631
2.4743 2.2217 8.3217
2.4743 6.6595 6.6924
2.4743 11.0974 5.0631
2.4743 11.0974 8.3217

4.
TbDyTlPt (PBE-GGA, relaxed); spin magnetization = 0.000 μB/cell; E_form = -0.69 eV per atom; raw total energy = -5.1004 eV per atom
1.0
0.0000 3.6489 3.6489
3.6489 0.0000 3.6489
3.6489 3.6489 0.0000
Tb Dy Tl Pt
1 1 1 1
Cartesian
0.0000 0.0000 0.0000
3.6489 3.6489 3.6489
1.8245 1.8245 1.8245
5.4734 5.4734 5.4734

Q: Which formula does entry 1 have?
A: BiPbO2F